No. 1
Tl2MoPd: relaxed, PBE-GGA.

a = 7.573 Å, b = 7.573 Å, c = 6.041 Å
α = 90.00°, β = 90.00°, γ = 90.00°
Fractional positions:
Tl  0.238  0.250  0.125
Tl  0.250  0.738  0.375
Tl  0.250  0.762  0.875
Tl  0.262  0.250  0.625
Tl  0.738  0.750  0.625
Tl  0.750  0.238  0.875
Tl  0.750  0.262  0.375
Tl  0.762  0.750  0.125
Mo  0.000  0.000  0.500
Mo  0.000  0.500  0.750
Mo  0.500  0.000  0.250
Mo  0.500  0.500  0.000
Pd  0.000  0.000  0.000
Pd  0.000  0.500  0.250
Pd  0.500  0.000  0.750
Pd  0.500  0.500  0.500

Computed properties:
**Spin magnetization**: 1.98 μB/f.u.
**Distance to the lowest polymorph of the same formula**: 4.18 kcal/mol of atoms
**Symmetry**: I-42d
**Energy of formation**: 0.717 eV/atom

---

No. 2
GeP2PtC: relaxed, PBE-GGA.

a = 4.685 Å, b = 4.685 Å, c = 4.686 Å
α = 90.00°, β = 90.00°, γ = 90.00°
Fractional positions:
Ge  0.000  0.000  0.000
P  0.000  0.500  0.000
P  0.500  0.000  0.000
Pt  0.000  0.000  0.500
C  0.500  0.500  0.500

Computed properties:
**Spin magnetization**: 0.87 μB/f.u.
**Symmetry**: P4/mmm
**Energy of formation**: 2.203 eV/atom

---

No. 3
CaAc2Hg10: relaxed, PBE-GGA.

a = 11.154 Å, b = 13.463 Å, c = 5.825 Å
α = 90.00°, β = 90.00°, γ = 90.00°
Fractional positions:
Ca  0.000  0.000  0.000
Ca  0.500  0.500  0.000
Ac  0.124  0.329  0.500
Ac  0.376  0.829  0.500
Ac  0.624  0.171  0.500
Ac  0.876  0.671  0.500
Hg  0.031  0.612  0.000
Hg  0.099  0.808  0.254
Hg  0.099  0.808  0.746
Hg  0.185  0.182  0.000
Hg  0.226  0.463  0.000
Hg  0.274  0.963  0.000
Hg  0.315  0.682  0.000
Hg  0.401  0.308  0.254
Hg  0.401  0.308  0.746
Hg  0.469  0.112  0.000
Hg  0.531  0.888  0.000
Hg  0.599  0.692  0.254
Hg  0.599  0.692  0.746
Hg  0.685  0.318  0.000
Hg  0.726  0.037  0.000
Hg  0.774  0.537  0.000
Hg  0.815  0.818  0.000
Hg  0.901  0.192  0.254
Hg  0.901  0.192  0.746
Hg  0.969  0.388  0.000

Computed properties:
**Spin magnetization**: 0.00 μB/f.u.
**Symmetry**: Pbam
**Energy of formation**: -0.130 eV/atom

---

No. 4
ZrP2IrCl: relaxed, PBE-GGA.

a = 4.631 Å, b = 4.631 Å, c = 4.685 Å
α = 90.00°, β = 90.00°, γ = 90.00°
Fractional positions:
Zr  0.000  0.000  0.000
P  0.000  0.500  0.500
P  0.500  0.000  0.500
Ir  0.500  0.500  0.500
Cl  0.500  0.500  0.000

Computed properties:
**Spin magnetization**: 0.00 μB/f.u.
**Energy relative to the elements, uncorrected**: 351 meV/atom
**Distance to the lowest polymorph of the same formula**: 0.00 kcal/mol of atoms
**Symmetry**: P4/mmm

---

No. 5
Tb5Pm2Y2: relaxed, PBE-GGA.

a = 8.014 Å, b = 8.014 Å, c = 8.010 Å
α = 107.46°, β = 107.46°, γ = 36.86°
Fractional positions:
Tb  0.000  0.000  0.000
Tb  0.222  0.222  0.332
Tb  0.333  0.333  0.000
Tb  0.667  0.667  0.000
Tb  0.778  0.778  0.668
Pm  0.112  0.112  0.668
Pm  0.888  0.888  0.332
Y  0.444  0.444  0.668
Y  0.556  0.556  0.332

Computed properties:
**Spin magnetization**: 0.00 μB/f.u.
**Distance to the lowest polymorph of the same formula**: 0.00 kcal/mol of atoms
**Symmetry**: C2/m
**Energy of formation**: 0.016 eV/atom

---

No. 6
SrLiYPt: relaxed, PBE-GGA.

a = 7.276 Å, b = 7.276 Å, c = 7.276 Å
α = 90.00°, β = 90.00°, γ = 90.00°
Fractional positions:
Sr  0.000  0.000  0.000
Sr  0.000  0.500  0.500
Sr  0.500  0.000  0.500
Sr  0.500  0.500  0.000
Li  0.250  0.250  0.250
Li  0.250  0.750  0.750
Li  0.750  0.250  0.750
Li  0.750  0.750  0.250
Y  0.000  0.000  0.500
Y  0.000  0.500  0.000
Y  0.500  0.000  0.000
Y  0.500  0.500  0.500
Pt  0.250  0.250  0.750
Pt  0.250  0.750  0.250
Pt  0.750  0.250  0.250
Pt  0.750  0.750  0.750

Computed properties:
**Spin magnetization**: 0.00 μB/f.u.
**Symmetry**: F-43m
**Energy of formation**: -0.455 eV/atom

---

No. 7
ZnSNCl2: relaxed, PBE-GGA.

a = 4.248 Å, b = 4.248 Å, c = 4.550 Å
α = 90.00°, β = 90.00°, γ = 90.00°
Fractional positions:
Zn  0.000  0.000  0.000
S  0.500  0.500  0.000
N  0.500  0.500  0.500
Cl  0.000  0.500  0.500
Cl  0.500  0.000  0.500

Computed properties:
**Spin magnetization**: 0.01 μB/f.u.
**Energy relative to the elements, uncorrected**: 908 meV/atom
**Distance to the lowest polymorph of the same formula**: 0.00 kcal/mol of atoms
**Symmetry**: P4/mmm

---

No. 8
La6Ir2OsBr2: relaxed, PBE-GGA.

a = 7.324 Å, b = 7.324 Å, c = 8.131 Å
α = 98.61°, β = 98.61°, γ = 120.14°
Fractional positions:
La  0.064  0.395  0.196
La  0.262  0.262  0.805
La  0.395  0.064  0.196
La  0.605  0.936  0.804
La  0.738  0.738  0.195
La  0.936  0.605  0.804
Ir  0.331  0.669  0.000
Ir  0.669  0.331  0.000
Os  0.000  0.000  0.000
Br  0.166  0.834  0.500
Br  0.834  0.166  0.500

Computed properties:
**Spin magnetization**: 0.45 μB/f.u.
**Energy relative to the elements, uncorrected**: -901 meV/atom
**Symmetry**: C2/m

---

No. 9
TlCo2Cu: relaxed, PBE-GGA.

a = 3.012 Å, b = 3.012 Å, c = 6.514 Å
α = 90.00°, β = 90.00°, γ = 90.00°
Fractional positions:
Tl  0.000  0.000  0.000
Co  0.000  0.000  0.480
Co  0.500  0.500  0.305
Cu  0.500  0.500  0.697

Computed properties:
**Spin magnetization**: 3.53 μB/f.u.
**Distance to the lowest polymorph of the same formula**: 0.00 kcal/mol of atoms
**Symmetry**: P4mm
**Energy of formation**: 0.371 eV/atom

---

No. 10
Pm2TlPd3: relaxed, PBE-GGA.

a = 9.279 Å, b = 8.707 Å, c = 5.999 Å
α = 75.76°, β = 65.44°, γ = 38.80°
Fractional positions:
Pm  0.244  0.756  0.756
Pm  0.250  0.250  0.250
Pm  0.750  0.750  0.750
Pm  0.756  0.244  0.244
Tl  0.332  0.332  0.668
Tl  0.668  0.668  0.332
Pd  0.160  0.160  0.840
Pd  0.168  0.662  0.338
Pd  0.338  0.832  0.168
Pd  0.662  0.168  0.832
Pd  0.832  0.338  0.662
Pd  0.840  0.840  0.160

Computed properties:
**Spin magnetization**: 0.00 μB/f.u.
**Symmetry**: Fmmm
**Energy of formation**: -0.599 eV/atom

---

No. 11
NpSN: relaxed, PBE-GGA.

a = 5.857 Å, b = 5.857 Å, c = 5.857 Å
α = 90.00°, β = 90.00°, γ = 90.00°
Fractional positions:
Np  0.000  0.000  0.000
Np  0.000  0.500  0.500
Np  0.500  0.000  0.500
Np  0.500  0.500  0.000
S  0.250  0.250  0.750
S  0.250  0.750  0.250
S  0.750  0.250  0.250
S  0.750  0.750  0.750
N  0.250  0.250  0.250
N  0.250  0.750  0.750
N  0.750  0.250  0.750
N  0.750  0.750  0.250

Computed properties:
**Spin magnetization**: 2.00 μB/f.u.
**Energy relative to the elements, uncorrected**: -580 meV/atom
**Distance to the lowest polymorph of the same formula**: 14.41 kcal/mol of atoms
**Symmetry**: F-43m

---

No. 12
Ca2Zn3Ga4Pt: relaxed, PBE-GGA.

a = 4.253 Å, b = 4.253 Å, c = 10.748 Å
α = 90.00°, β = 90.00°, γ = 90.00°
Fractional positions:
Ca  0.000  0.500  0.244
Ca  0.500  0.000  0.756
Zn  0.000  0.000  0.000
Zn  0.000  0.500  0.639
Zn  0.500  0.000  0.361
Ga  0.000  0.000  0.500
Ga  0.000  0.500  0.869
Ga  0.500  0.000  0.131
Ga  0.500  0.500  0.500
Pt  0.500  0.500  0.000

Computed properties:
**Spin magnetization**: 0.00 μB/f.u.
**Symmetry**: P-4m2
**Energy of formation**: -0.447 eV/atom

---

Please write out number 2 again, unchanged.
GeP2PtC: relaxed, PBE-GGA.

a = 4.685 Å, b = 4.685 Å, c = 4.686 Å
α = 90.00°, β = 90.00°, γ = 90.00°
Fractional positions:
Ge  0.000  0.000  0.000
P  0.000  0.500  0.000
P  0.500  0.000  0.000
Pt  0.000  0.000  0.500
C  0.500  0.500  0.500

Computed properties:
**Spin magnetization**: 0.87 μB/f.u.
**Symmetry**: P4/mmm
**Energy of formation**: 2.203 eV/atom